Entry from Alexandria: LiTe2N2 after structural relaxation (GGA-PBE).

a = 4.154 Å, b = 4.154 Å, c = 4.882 Å
α = 90.00°, β = 90.00°, γ = 90.00°
Positions (direct):
Te 0.500 0.500 0.500
Te 0.000 0.000 0.500
Li 0.000 0.000 0.000
N 0.000 0.500 0.000
N 0.500 0.000 0.000

E above lowest polymorph ... 73.5 kJ/mol of atoms
VASP energy ... -16.07 eV/cell
Space-group type ... No. 123
Density ... 5.72 g cm⁻³